! ZnSbCl2, optimized geometry, DFT PBE; values from VASP
! polymorph energy (0 for the lowest one)	0.1984	eV per atom
! space group	P2/m
! D(E_F)	0.34	states/eV per cell
! raw total energy	-2.6226	eV per atom
! raw formation energy	-0.3502	eV per atom
&SYSTEM
  ibrav = 0, nat = 4, ntyp = 3
/
ATOMIC_SPECIES
Zn 65.41 Zn.upf
Sb 121.76 Sb.upf
Cl 35.45 Cl.upf
CELL_PARAMETERS angstrom
5.760 0.000 0.000
0.000 3.882 0.000
-2.858 0.000 6.316
ATOMIC_POSITIONS crystal
Zn 0.000 0.000 0.000
Sb 0.500 0.000 0.000
Cl 0.351 0.500 0.703
Cl 0.649 0.500 0.297

! CaErTm2, optimized geometry, DFT PBE; values from VASP
! polymorph energy (0 for the lowest one)	0.0000	eV per atom
! space group	R3m
! D(E_F)	5.42	states/eV per cell
! raw total energy	-3.8012	eV per atom
! E_form	0.08	eV/atom
&SYSTEM
  ibrav = 0, nat = 4, ntyp = 3
/
ATOMIC_SPECIES
Ca 40.08 Ca.upf
Er 167.26 Er.upf
Tm 168.93 Tm.upf
CELL_PARAMETERS angstrom
1.772 1.023 11.907
-1.772 1.023 11.907
0.000 -2.046 11.907
ATOMIC_POSITIONS crystal
Ca 0.000 0.000 0.000
Er 0.166 0.166 0.166
Tm 0.577 0.577 0.577
Tm 0.755 0.755 0.755

- Which of these has the highest polymorph energy (0 for the lowest one)?
  ZnSbCl2

- What is the formula in the second record?
  CaErTm2